No. 1
DFT (meta-GGA SCAN) results for a PBEsol-optimized structure of Zr2TlCd.

Density of states at the Fermi level, states/eV per cell: 2.95
Space-group type: R-3m (166)
Magnetization, μB/cell: 0.0
DFT total energy, eV for the cell shown: -164.4
Energy of formation, eV per atom: -0.067

Structure (POSCAR):
```
Zr2TlCd
1.0
3.134 0.000 0.000
1.567 2.714 0.000
1.567 0.905 10.259
Cd Zr Tl
1 2 1
direct
0.500 0.500 0.500 Cd
0.750 0.750 0.749 Zr
0.250 0.250 0.251 Zr
0.000 0.000 0.000 Tl
```

***

No. 2
DFT (meta-GGA SCAN) results for a PBEsol-optimized structure of HgTe2Au.

Density of states at the Fermi level, states/eV per cell: 4.22
Space-group type: I-42d (122)
Formation energy from raw total energies, kJ/mol of atoms: -12.4
Magnetization, μB/cell: 0.0
DFT total energy, eV for the cell shown: -424.7

Structure (POSCAR):
```
HgTe2Au
1.0
6.321 0.000 0.000
0.000 6.321 0.000
-3.160 -3.160 6.324
Au Hg Te
2 2 4
direct
0.500 0.500 0.000 Au
0.750 0.250 0.500 Au
0.250 0.750 0.500 Hg
0.000 0.000 0.000 Hg
0.855 0.375 0.250 Te
0.125 0.145 0.750 Te
0.395 0.875 0.250 Te
0.625 0.605 0.750 Te
```

***

No. 3
DFT (meta-GGA SCAN) results for a PBEsol-optimized structure of ZrNbCN.

Density of states at the Fermi level, states/eV per cell: 1.32
Space-group type: R3m (160)
Formation energy from raw total energies, kJ/mol of atoms: -114.0
Magnetization, μB/cell: 0.0
DFT total energy, eV for the cell shown: -87.9

Structure (POSCAR):
```
ZrNbCN
1.0
-2.548 -1.722 0.856
-1.601 -1.680 -2.192
1.716 -5.269 0.460
Zr N Nb C
1 1 1 1
direct
0.252 0.252 0.245 Zr
0.499 0.499 0.504 N
0.747 0.747 0.758 Nb
0.002 0.002 0.993 C
```

***

No. 4
DFT (meta-GGA SCAN) results for a PBEsol-optimized structure of FeRu2.

Density of states at the Fermi level, states/eV per cell: 3.33
Space-group type: P-3m1 (164)
Magnetization, μB/cell: 2.4
DFT total energy, eV for the cell shown: -87.3
Energy of formation, eV per atom: 0.157

Structure (POSCAR):
```
FeRu2
1.0
-1.837 -1.623 -0.932
1.478 -0.726 2.041
-4.218 2.509 3.948
Ru Fe
2 1
direct
0.333 0.667 0.674 Ru
0.667 0.333 0.326 Ru
0.000 0.000 0.000 Fe
```

***

No. 5
DFT (meta-GGA SCAN) results for a PBEsol-optimized structure of Cu3Sn.

Density of states at the Fermi level, states/eV per cell: 0.79
Space-group type: Fm-3m (225)
Magnetization, μB/cell: 0.0
DFT total energy, eV for the cell shown: -81.2
Energy of formation, eV per atom: 0.092

Structure (POSCAR):
```
Cu3Sn
1.0
-2.999 -2.573 -1.635
0.004 -0.902 -4.181
1.048 -3.924 -1.340
Cu Sn
3 1
direct
0.750 0.750 0.750 Cu
0.250 0.250 0.250 Cu
0.500 0.500 0.500 Cu
0.000 0.000 0.000 Sn
```

***

No. 6
DFT (meta-GGA SCAN) results for a PBEsol-optimized structure of ZrTeCl2.

Density of states at the Fermi level, states/eV per cell: 2.55
Space-group type: C2/m (12)
Formation energy from raw total energies, kJ/mol of atoms: -58.1
Magnetization, μB/cell: 0.0
DFT total energy, eV for the cell shown: -86.3

Structure (POSCAR):
```
ZrTeCl2
1.0
-3.130 0.596 1.893
-1.928 -3.825 -2.369
4.054 -1.282 3.673
Cl Zr Te
2 1 1
direct
0.500 0.500 0.500 Cl
0.000 0.000 0.500 Cl
0.000 0.500 0.000 Zr
0.500 0.000 0.000 Te
```

***

No. 7
DFT (meta-GGA SCAN) results for a PBEsol-optimized structure of Cs2LiAg.

Density of states at the Fermi level, states/eV per cell: 0.95
Space-group type: Fm-3m (225)
Magnetization, μB/cell: 0.0
DFT total energy, eV for the cell shown: -108.5
Energy of formation, eV per atom: 0.210

Structure (POSCAR):
```
Cs2LiAg
1.0
-3.399 0.184 -5.390
-0.047 -5.033 -3.912
-5.268 -3.545 -0.570
Cs Li Ag
2 1 1
direct
0.250 0.250 0.250 Cs
0.750 0.750 0.750 Cs
0.000 0.000 0.000 Li
0.500 0.500 0.500 Ag
```

***

No. 8
DFT (meta-GGA SCAN) results for a PBEsol-optimized structure of Zr8In.

Density of states at the Fermi level, states/eV per cell: 9.02
Space-group type: I4/mmm (139)
Magnetization, μB/cell: 0.0
DFT total energy, eV for the cell shown: -280.0
Energy of formation, eV per atom: -0.112

Structure (POSCAR):
```
Zr8In
1.0
-0.276 2.543 -3.395
-5.730 -2.043 -3.726
-3.998 5.606 1.863
Zr In
8 1
direct
0.334 0.332 0.000 Zr
0.666 0.000 0.668 Zr
0.000 0.667 0.333 Zr
0.667 0.333 0.333 Zr
0.333 0.667 0.667 Zr
0.666 0.668 0.000 Zr
0.334 0.000 0.332 Zr
0.000 0.333 0.667 Zr
0.000 0.000 0.000 In
```

***

- What is the magnetization in the fourth record?
  2.4 μB/cell

***

- Which of these has the highest density of states at the Fermi level?
  Zr8In

***

- The highest density of states at the Fermi level belongs to which entry?
  Zr8In